Material: LiHf2Mn
Method: DFT, GGA-PBEsol
State: relaxed

Results
The total magnetization is 0.00 μB per formula unit. The density is 5.42 g cm⁻³. As for the energy of formation: 1421 meV/atom. The calculation puts the final energy at -27.05 eV/f.u. Its space group is Fd-3m.

extended XYZ file:
```
8
Lattice="-5.8415 3.7894 -1.5521 -6.3208 -1.9278 2.6877 -3.1035 3.9921 5.0323" Properties=species:S:1:pos:R:3 pbc="T T T"
Mn -11.4493 4.3903 4.6259
Mn -7.6329 2.9269 3.0839
Hf -9.5411 3.6586 3.8549
Hf -6.6204 1.7639 4.6310
Hf -6.3807 4.6225 2.5111
Hf -7.9894 1.6625 1.3388
Li 0.0000 0.0000 0.0000
Li -3.8164 1.4634 1.5420
```